Record 1
A plane-wave DFT calculation with PBE was carried out for NdHo6Co2 after structural relaxation.

Summary:
energy	-93.9	eV per cell
DOS at the Fermi energy	21.327	states/eV/cell

Cell and atoms, written as extended XYZ:
```
18
Lattice="8.064 0.426 -2.630 -4.505 6.833 -2.268 -0.009 -0.426 8.482" Properties=species:S:1:pos:R:3 pbc="T T T"
Nd -2.257 3.203 3.107
Nd 0.000 0.000 0.000
Ho 2.541 2.108 -0.327
Ho 1.008 4.725 3.911
Ho 4.033 5.151 -2.380
Ho -0.484 1.682 5.964
Ho -1.675 4.890 6.030
Ho 5.224 1.943 -2.446
Ho 2.847 5.317 0.827
Ho 0.703 1.516 2.757
Ho -1.953 6.653 2.689
Ho 5.503 0.180 0.895
Ho 3.867 2.502 3.147
Ho -0.318 4.331 0.437
Co 2.278 2.482 5.333
Co 1.271 4.351 -1.749
Co 2.631 0.000 1.912
Co 5.423 0.000 3.940
```

***

Record 2
A plane-wave DFT calculation with PBE was carried out for NdHoCo2 after structural relaxation.

Summary:
energy	-48.2	eV per cell
polymorph energy (0 for the lowest one)	0.0000	eV per atom
DOS at the Fermi energy	8.876	states/eV/cell

Cell and atoms, written as extended XYZ:
```
8
Lattice="-1.179 3.644 -0.648 -2.937 -0.090 4.841 6.078 2.630 3.736" Properties=species:S:1:pos:R:3 pbc="T T T"
Nd 3.723 1.767 3.163
Nd -1.480 0.385 4.863
Ho 0.263 2.629 2.663
Ho 2.542 3.921 5.785
Co 1.346 1.336 5.069
Co -0.882 0.046 1.863
Co -0.144 2.996 5.471
Co 4.837 4.371 4.137
```

***

Record 3
A plane-wave DFT calculation with PBE was carried out for NdHoCo after structural relaxation.

Summary:
energy	-16.4	eV per cell
polymorph energy (0 for the lowest one)	0.1072	eV per atom
DOS at the Fermi energy	3.098	states/eV/cell

Cell and atoms, written as extended XYZ:
```
3
Lattice="-3.706 -1.276 -2.688 -3.995 -1.559 2.047 -3.916 2.691 -0.079" Properties=species:S:1:pos:R:3 pbc="T T T"
Co -2.904 -0.036 -0.180
Nd 0.000 0.000 0.000
Ho -5.809 -0.072 -0.360
```

***

Record 4
A plane-wave DFT calculation with PBE was carried out for Nd2Ho4Co after structural relaxation.

Summary:
energy	-33.8	eV per cell
DOS at the Fermi energy	9.905	states/eV/cell

Cell and atoms, written as extended XYZ:
```
7
Lattice="5.165 0.000 0.000 0.000 5.165 0.000 2.582 2.582 8.513" Properties=species:S:1:pos:R:3 pbc="T T T"
Co 0.000 0.000 0.000
Nd 5.165 5.165 6.117
Nd 2.582 2.582 2.397
Ho 5.165 5.165 2.643
Ho 2.582 2.582 5.870
Ho 0.000 2.582 0.000
Ho 2.582 0.000 0.000
```

***

Record 5
A plane-wave DFT calculation with PBE was carried out for NdHoCo after structural relaxation.

Summary:
energy	-16.6	eV per cell
polymorph energy (0 for the lowest one)	0.0590	eV per atom
DOS at the Fermi energy	2.556	states/eV/cell

Cell and atoms, written as extended XYZ:
```
3
Lattice="3.412 0.000 0.000 0.000 3.412 0.000 -1.706 -1.706 6.437" Properties=species:S:1:pos:R:3 pbc="T T T"
Nd 0.000 0.000 0.465
Co 1.706 1.706 2.218
Ho 0.000 0.000 3.754
```

***

Record 6
A plane-wave DFT calculation with PBE was carried out for Nd2HoCo2 after structural relaxation.

Summary:
energy	-57.3	eV per cell
polymorph energy (0 for the lowest one)	0.0263	eV per atom
DOS at the Fermi energy	10.331	states/eV/cell

Cell and atoms, written as extended XYZ:
```
10
Lattice="-2.503 2.764 1.137 -3.635 1.619 -5.252 -7.878 -5.317 2.266" Properties=species:S:1:pos:R:3 pbc="T T T"
Nd -2.353 0.944 -0.791
Nd -7.978 -1.791 0.160
Nd -11.663 -1.879 -1.058
Nd -6.039 0.857 -2.009
Ho -5.090 0.342 1.332
Ho -8.926 -1.276 -3.181
Co -9.960 -1.810 2.524
Co -5.084 -1.616 -0.581
Co -4.057 0.875 -4.374
Co -8.932 0.681 -1.269
```

***

Record 7
A plane-wave DFT calculation with PBE was carried out for NdHoCo after structural relaxation.

Summary:
energy	-33.2	eV per cell
polymorph energy (0 for the lowest one)	0.0613	eV per atom
DOS at the Fermi energy	5.921	states/eV/cell

Cell and atoms, written as extended XYZ:
```
6
Lattice="-2.901 1.244 1.265 -2.952 -6.163 -0.729 4.109 -0.625 5.476" Properties=species:S:1:pos:R:3 pbc="T T T"
Nd -0.742 -2.853 2.167
Nd 0.231 -3.665 5.197
Ho 1.709 -0.559 5.539
Ho -2.220 -5.959 1.825
Co -0.904 -0.993 4.539
Co -2.507 -4.281 4.090
```

***

Record 8
A plane-wave DFT calculation with PBE was carried out for Nd2HoCo2 after structural relaxation.

Summary:
energy	-57.6	eV per cell
polymorph energy (0 for the lowest one)	0.0000	eV per atom
DOS at the Fermi energy	9.687	states/eV/cell

Cell and atoms, written as extended XYZ:
```
10
Lattice="-5.938 -0.281 -1.363 2.628 -4.657 3.154 -1.479 4.715 5.472" Properties=species:S:1:pos:R:3 pbc="T T T"
Nd -2.636 -0.903 1.055
Nd -0.095 -1.615 3.775
Nd -2.152 0.680 6.208
Nd -4.693 1.392 3.488
Ho -5.840 0.920 0.112
Ho -1.576 3.514 3.997
Co -3.049 -1.017 3.819
Co 0.727 -1.482 1.105
Co -1.739 0.794 3.444
Co -5.516 1.258 6.158
```

***

Record 9
A plane-wave DFT calculation with PBE was carried out for NdHoCoPt after structural relaxation.

Summary:
energy	-24.7	eV per cell
DOS at the Fermi energy	3.351	states/eV/cell

Cell and atoms, written as extended XYZ:
```
4
Lattice="-4.462 -1.858 0.942 -2.308 -2.708 -3.404 -0.558 -4.847 0.671" Properties=species:S:1:pos:R:3 pbc="T T T"
Co -5.496 -7.059 -1.344
Nd -3.664 -4.706 -0.896
Ho 0.000 0.000 0.000
Pt -1.832 -2.353 -0.448
```

***

Record 10
A plane-wave DFT calculation with PBE was carried out for NdHoZnCo after structural relaxation.

Summary:
energy	-18.4	eV per cell
DOS at the Fermi energy	2.596	states/eV/cell

Cell and atoms, written as extended XYZ:
```
4
Lattice="4.950 0.000 0.000 2.475 4.287 0.000 2.475 1.429 4.042" Properties=species:S:1:pos:R:3 pbc="T T T"
Co 4.950 2.858 2.021
Zn 0.000 0.000 0.000
Nd 2.475 1.429 1.010
Ho 7.425 4.287 3.031
```

***

Record 11
A plane-wave DFT calculation with PBE was carried out for Ho8Co2Ni after structural relaxation.

Summary:
energy	-55.5	eV per cell
polymorph energy (0 for the lowest one)	0.2370	eV per atom
DOS at the Fermi energy	10.831	states/eV/cell

Cell and atoms, written as extended XYZ:
```
11
Lattice="-3.794 1.414 -5.146 -3.130 -1.395 6.091 1.259 7.724 1.194" Properties=species:S:1:pos:R:3 pbc="T T T"
Ho -4.193 1.905 -2.646
Ho -2.285 1.194 -0.058
Ho -1.472 5.839 4.785
Ho -2.802 3.200 2.945
Ho -3.380 6.550 2.197
Ho -5.726 2.404 0.717
Ho 0.061 5.339 1.422
Ho -2.863 4.543 -0.807
Co -4.832 4.880 0.738
Co -0.834 2.863 1.401
Ni 0.000 0.000 0.000
```

***

Record 12
A plane-wave DFT calculation with PBE was carried out for HoCoNi after structural relaxation.

Summary:
energy	-36.9	eV per cell
DOS at the Fermi energy	5.099	states/eV/cell

Cell and atoms, written as extended XYZ:
```
6
Lattice="-1.475 3.271 3.592 0.581 -4.918 1.118 4.733 -0.019 -1.836" Properties=species:S:1:pos:R:3 pbc="T T T"
Ho 3.860 0.173 -0.571
Ho -0.020 -1.840 3.444
Co 1.920 -0.833 1.437
Co 0.291 -2.459 0.559
Ni 2.657 -2.468 -0.359
Ni 1.629 1.626 0.878
```

***

Computed formation enthalpy at 0 K, in the same sequence as the records: -0.06, -0.13, 0.00, 0.17, -0.05, -0.07, -0.04, -0.09, -0.56, -0.17, 0.10, -0.33 eV/atom.